(one)
GGA-PBE Li5AgPt, optimized geometry; magnetization = 0.00 μB/atom; volume = 222.30 Å³/cell; theoretical density = 5.04 g cm⁻³; crystal system = monoclinic
1.0
3.545 -3.112 0.000
3.545 3.112 0.000
-0.577 0.000 10.076
Li Ag Pt
10 2 2
direct
0.058 0.942 0.750
0.126 0.452 0.616
0.182 0.460 0.910
0.452 0.126 0.116
0.460 0.182 0.410
0.540 0.818 0.590
0.548 0.874 0.884
0.818 0.540 0.090
0.874 0.548 0.384
0.942 0.058 0.250
0.353 0.647 0.250
0.647 0.353 0.750
0.000 0.000 0.000
0.000 0.000 0.500



(two)
GGA-PBE Li5AgPt, optimized geometry; magnetization = 0.00 μB/atom; volume = 116.95 Å³/cell; theoretical density = 4.79 g cm⁻³; crystal system = tetragonal
1.0
4.007 0.000 0.000
0.000 4.007 0.000
0.000 0.000 7.285
Li Ag Pt
5 1 1
direct
0.000 0.000 0.000
0.000 0.500 0.244
0.000 0.500 0.756
0.500 0.000 0.244
0.500 0.000 0.756
0.000 0.000 0.500
0.500 0.500 0.000



Which is most stable? The ranking, best first, is (one), (two).